# 1
VASP calculation (GGA-PBE) on a relaxed structure of SbSeS.

Cell and atoms, written as POSCAR:
```
SbSeS
1.0
9.754 -1.910 0.000
9.754 1.910 0.000
-0.920 0.000 5.204
Sb Se S
2 2 2
Direct
0.142 0.142 0.495
0.858 0.858 0.505
0.320 0.320 0.800
0.680 0.680 0.200
0.015 0.015 0.319
0.985 0.985 0.681
```

Properties
Its space group is No. 12. The calculation puts the uncorrected formation energy at -0.23 eV/f.u. The value obtained for the energy is -23.94 eV for the cell shown. The density of states at the Fermi level is 0.17 states/eV per atom.

# 2
VASP calculation (GGA-PBE) on a relaxed structure of RbCu2Ag.

Cell and atoms, written as POSCAR:
```
RbCu2Ag
1.0
-2.477 2.477 9.079
2.477 -2.477 9.079
2.477 2.477 -9.079
Rb Cu Ag
2 4 2
Direct
0.375 0.625 0.750
0.625 0.375 0.250
0.000 0.000 0.000
0.000 0.000 0.500
0.000 0.500 0.000
0.500 0.000 0.500
0.125 0.875 0.250
0.875 0.125 0.750
```

Properties
Its space group is No. 141. The value obtained for the energy is -21.39 eV for the cell shown. The density of states at the Fermi level is 0.24 states/eV per atom.

# 3
VASP calculation (GGA-PBE) on a relaxed structure of TmUH2.

Cell and atoms, written as POSCAR:
```
TmUH2
1.0
1.677 0.968 6.068
-1.677 0.968 6.068
0.000 -1.936 6.068
Tm U H
1 1 2
Direct
0.000 0.000 0.000
0.500 0.500 0.500
0.379 0.379 0.379
0.621 0.621 0.621
```

Properties
Its space group is No. 166. The value obtained for the energy is -23.31 eV for the cell shown. The density of states at the Fermi level is 1.18 states/eV per atom.

# 4
VASP calculation (GGA-PBE) on a relaxed structure of Be2TlCl.

Cell and atoms, written as POSCAR:
```
Be2TlCl
1.0
-2.022 2.022 5.540
2.022 -2.022 5.540
2.022 2.022 -5.540
Be Tl Cl
2 1 1
Direct
0.250 0.750 0.500
0.750 0.250 0.500
0.000 0.000 0.000
0.500 0.500 0.000
```

Properties
Its space group is No. 139. The calculation puts the uncorrected formation energy at 3.32 eV/f.u. The value obtained for the energy is -8.35 eV for the cell shown. The density of states at the Fermi level is 0.24 states/eV per atom.

# 5
VASP calculation (GGA-PBE) on a relaxed structure of RbNa2AlZn.

Cell and atoms, written as POSCAR:
```
RbNa2AlZn
1.0
5.874 0.000 0.000
0.000 5.874 0.000
0.000 0.000 4.854
Rb Na Al Zn
1 2 1 1
Direct
0.000 0.000 0.000
0.000 0.500 0.500
0.500 0.000 0.500
0.500 0.500 0.000
0.500 0.500 0.500
```

Properties
Its space group is No. 123. The value obtained for the energy is -7.87 eV for the cell shown. The density of states at the Fermi level is 0.49 states/eV per atom.

# 6
VASP calculation (GGA-PBE) on a relaxed structure of VHgGe2.

Cell and atoms, written as POSCAR:
```
VHgGe2
1.0
-3.726 3.726 2.862
3.726 -3.726 2.862
3.726 3.726 -2.862
V Hg Ge
2 2 4
Direct
0.000 0.000 0.000
0.750 0.250 0.500
0.250 0.750 0.500
0.500 0.500 0.000
0.105 0.625 0.980
0.375 0.355 0.480
0.645 0.125 0.020
0.875 0.895 0.520
```

Properties
Its space group is No. 122. The value obtained for the energy is -33.34 eV for the cell shown. The density of states at the Fermi level is 1.12 states/eV per atom.

# 7
VASP calculation (GGA-PBE) on a relaxed structure of Na3TmSc2Se6.

Cell and atoms, written as POSCAR:
```
Na3TmSc2Se6
1.0
3.460 -5.993 0.000
3.460 5.993 0.000
-2.309 0.000 6.971
Na Tm Sc Se
3 1 2 6
Direct
0.000 0.000 0.000
0.335 0.665 0.000
0.665 0.335 0.000
0.500 0.500 0.500
0.167 0.833 0.500
0.833 0.167 0.500
0.084 0.426 0.279
0.231 0.231 0.721
0.426 0.084 0.279
0.574 0.916 0.721
0.769 0.769 0.279
0.916 0.574 0.721
```

Properties
Its space group is No. 12. The calculation puts the uncorrected formation energy at -19.45 eV/f.u. The value obtained for the energy is -61.45 eV for the cell shown. The density of states at the Fermi level is 0.00 states/eV per atom.

# 8
VASP calculation (GGA-PBE) on a relaxed structure of Cd4FeCo.

Cell and atoms, written as POSCAR:
```
Cd4FeCo
1.0
0.000 3.872 3.872
3.872 0.000 3.872
3.872 3.872 0.000
Cd Fe Co
4 1 1
Direct
0.125 0.125 0.125
0.125 0.125 0.625
0.125 0.625 0.125
0.625 0.125 0.125
0.500 0.500 0.500
0.750 0.750 0.750
```

Properties
Its space group is No. 216. The value obtained for the energy is -15.25 eV for the cell shown. The density of states at the Fermi level is 0.88 states/eV per atom.

# 9
VASP calculation (GGA-PBE) on a relaxed structure of Pm2TiCu.

Cell and atoms, written as POSCAR:
```
Pm2TiCu
1.0
3.463 0.000 0.000
0.000 3.463 0.000
0.000 0.000 8.005
Pm Ti Cu
2 1 1
Direct
0.000 0.000 0.232
0.000 0.000 0.768
0.500 0.500 0.500
0.500 0.500 0.000
```

Properties
Its space group is No. 123. The value obtained for the energy is -21.13 eV for the cell shown. The density of states at the Fermi level is 1.08 states/eV per atom.

# 10
VASP calculation (GGA-PBE) on a relaxed structure of GePd4Pb.

Cell and atoms, written as POSCAR:
```
GePd4Pb
1.0
7.044 0.000 0.000
0.000 3.565 0.000
0.000 0.000 16.494
Ge Pd Pb
4 16 4
Direct
0.248 0.250 0.054
0.252 0.750 0.554
0.748 0.250 0.446
0.752 0.750 0.946
0.005 0.750 0.436
0.066 0.750 0.701
0.125 0.750 0.149
0.130 0.750 0.953
0.370 0.250 0.453
0.375 0.250 0.649
0.434 0.250 0.201
0.495 0.250 0.936
0.505 0.750 0.064
0.566 0.750 0.799
0.625 0.750 0.351
0.630 0.750 0.547
0.870 0.250 0.047
0.875 0.250 0.851
0.934 0.250 0.299
0.995 0.250 0.564
0.248 0.250 0.810
0.252 0.750 0.310
0.748 0.250 0.690
0.752 0.750 0.190
```

Properties
Its space group is No. 62. The value obtained for the energy is -125.67 eV for the cell shown. The density of states at the Fermi level is 0.38 states/eV per atom.

# 11
VASP calculation (GGA-PBE) on a relaxed structure of KCuIr2.

Cell and atoms, written as POSCAR:
```
KCuIr2
1.0
2.699 0.000 0.000
0.000 4.918 0.000
-1.073 0.000 5.175
K Cu Ir
1 1 2
Direct
0.000 0.000 0.000
0.500 0.000 0.500
0.342 0.500 0.719
0.658 0.500 0.281
```

Properties
Its space group is No. 10. The value obtained for the energy is -19.93 eV for the cell shown. The density of states at the Fermi level is 1.18 states/eV per atom.

# 12
VASP calculation (GGA-PBE) on a relaxed structure of W3Cl.

Cell and atoms, written as POSCAR:
```
W3Cl
1.0
3.042 0.000 0.000
0.000 3.042 0.000
0.000 0.000 7.183
W Cl
3 1
Direct
0.000 0.000 0.000
0.500 0.500 0.229
0.500 0.500 0.771
0.000 0.000 0.500
```

Properties
Its space group is No. 123. The calculation puts the uncorrected formation energy at 2.59 eV/f.u. The value obtained for the energy is -38.12 eV for the cell shown. The density of states at the Fermi level is 0.90 states/eV per atom.